A relaxed CsScTeO4 crystal, computed with PBE-GGA.

a = 6.012 Å, b = 6.081 Å, c = 7.902 Å
α = 90.00°, β = 101.85°, γ = 90.00°
Space group P2_1/m (No. 11)
One atom of each set of equivalent atoms:
Cs1 0.123 0.250 0.137 [2 per cell]
Sc1 0.145 0.750 0.460 [2 per cell]
Te1 0.409 0.250 0.697 [2 per cell]
O1 0.165 0.024 0.629 [4 per cell]
O2 0.223 0.750 0.227 [2 per cell]
O3 0.483 0.250 0.475 [2 per cell]

Computed properties:
Energy relative to the elements, uncorrected in kcal/mol of atoms: -46.2
Final energy in eV/atom: -6.313
N(E_F) in states/eV/atom: 0.00